Entry 1:
First-principles (PBE) data for a relaxed structure of NpTaGaIr, as listed in the Alexandria database.

POSCAR file:
```
NpTaGaIr
1.0
0.0000 3.3186 3.3186
3.3186 0.0000 3.3186
3.3186 3.3186 0.0000
Np Ta Ga Ir
1 1 1 1
Direct
0.0000 0.0000 0.0000
0.7500 0.7500 0.7500
0.2500 0.2500 0.2500
0.5000 0.5000 0.5000
```

Calculated values
E_tot in eV/atom: -8.962
Total magnetization in μB/cell: 5.13
ΔH_f (0 K) in eV/atom: 0.21

Entry 2:
First-principles (PBE) data for a relaxed structure of NpGaTcIr, as listed in the Alexandria database.

POSCAR file:
```
NpGaTcIr
1.0
0.0000 3.2402 3.2402
3.2402 0.0000 3.2402
3.2402 3.2402 0.0000
Np Ga Tc Ir
1 1 1 1
Direct
0.0000 0.0000 0.0000
0.5000 0.5000 0.5000
0.2500 0.2500 0.2500
0.7500 0.7500 0.7500
```

Calculated values
E_tot in eV/atom: -9.022
Total magnetization in μB/cell: 2.47
ΔH_f (0 K) in eV/atom: -0.22

Entry 3:
First-principles (PBE) data for a relaxed structure of NpUGaIr, as listed in the Alexandria database.

POSCAR file:
```
NpUGaIr
1.0
0.0000 3.3679 3.3679
3.3679 0.0000 3.3679
3.3679 3.3679 0.0000
Np U Ga Ir
1 1 1 1
Direct
0.0000 0.0000 0.0000
0.7500 0.7500 0.7500
0.2500 0.2500 0.2500
0.5000 0.5000 0.5000
```

Calculated values
E_tot in eV/atom: -9.240
Total magnetization in μB/cell: 7.03
ΔH_f (0 K) in eV/atom: -0.21

Entry 4:
First-principles (PBE) data for a relaxed structure of GaIr2O, as listed in the Alexandria database.

POSCAR file:
```
GaIr2O
1.0
-2.2088 2.2088 6.6353
2.2088 -2.2088 6.6353
2.2088 2.2088 -6.6353
Ga Ir O
2 4 2
Direct
0.0000 0.0000 0.0000
0.7500 0.2500 0.5000
0.2405 0.6250 0.1155
0.3750 0.4905 0.6155
0.5095 0.1250 0.8845
0.8750 0.7595 0.3845
0.2500 0.7500 0.5000
0.5000 0.5000 0.0000
```

Calculated values
E_tot in eV/atom: -6.244
Total magnetization in μB/cell: 0.00
ΔE_f (raw) in eV per atom: 0.183
Offset from the most stable computed form in meV per atom: 0.0